Run 1
InHg2Cl | the Alexandria database | GGA-PBEsol | optimized geometry; crystal system = orthorhombic; space-group type = Imm2, No. 44; total moment = 0.00 μB/f.u.; volume = 25.19 Å³/atom
1.0
3.6003 0.0000 0.0000
0.0000 5.4855 0.0000
0.0000 0.0000 10.2036
In Hg Cl
2 4 2
direct
0.0000 0.0000 0.0000
0.5000 0.5000 0.5000
0.0000 0.0000 0.4830
0.0000 0.5000 0.2436
0.5000 0.0000 0.7436
0.5000 0.5000 0.9830
0.0000 0.5000 0.7074
0.5000 0.0000 0.2074


Run 2
InHg2Cl | the Alexandria database | GGA-PBEsol | optimized geometry; crystal system = monoclinic; space-group type = Pm, No. 6; total moment = 0.00 μB/f.u.; volume = 26.22 Å³/atom
1.0
4.3518 0.0000 0.0000
0.0000 4.0248 0.0000
-2.1125 0.0000 5.9874
In Hg Cl
1 2 1
direct
0.0000 0.0000 0.0000
0.2372 0.0000 0.5030
0.7773 0.5000 0.5887
0.5338 0.5000 0.0798


Most stable to least stable: run 2, run 1


Run 1
Zr2Tc | the Alexandria database | GGA-PBEsol | optimized geometry; crystal system = tetragonal; space-group type = I4/mmm, No. 139; total moment = 0.00 μB/f.u.; volume = 18.64 Å³/atom
1.0
3.2737 0.0000 0.0000
0.0000 3.2737 0.0000
0.0000 0.0000 10.4329
Zr Tc
4 2
direct
0.0000 0.0000 0.1496
0.0000 0.0000 0.8504
0.5000 0.5000 0.3504
0.5000 0.5000 0.6496
0.0000 0.0000 0.5000
0.5000 0.5000 0.0000


Run 2
Zr2Tc | the Alexandria database | GGA-PBEsol | optimized geometry; crystal system = trigonal; space-group type = P-3m1, No. 164; total moment = 0.00 μB/f.u.; volume = 18.55 Å³/atom
1.0
4.5041 0.0000 0.0000
-2.2521 3.9007 0.0000
0.0000 0.0000 3.1678
Zr Tc
2 1
direct
0.3333 0.6667 0.2952
0.6667 0.3333 0.7048
0.0000 0.0000 0.0000


Most stable to least stable: run 1, run 2


Run 1
RuPtCl | the Alexandria database | GGA-PBEsol | optimized geometry; crystal system = tetragonal; space-group type = I4mm, No. 107; total moment = 0.00 μB/f.u.; volume = 16.15 Å³/atom
1.0
2.8344 0.0000 0.0000
0.0000 2.8344 0.0000
0.0000 0.0000 12.0593
Ru Pt Cl
2 2 2
direct
0.0000 0.0000 0.0000
0.5000 0.5000 0.5000
0.0000 0.0000 0.3595
0.5000 0.5000 0.8595
0.0000 0.0000 0.6304
0.5000 0.5000 0.1304


Run 2
RuPtCl | the Alexandria database | GGA-PBEsol | optimized geometry; crystal system = cubic; space-group type = F-43m, No. 216; total moment = 0.84 μB/f.u.; volume = 17.36 Å³/atom
1.0
5.9281 0.0000 0.0000
0.0000 5.9281 0.0000
0.0000 0.0000 5.9281
Ru Pt Cl
4 4 4
direct
0.0000 0.0000 0.0000
0.0000 0.5000 0.5000
0.5000 0.0000 0.5000
0.5000 0.5000 0.0000
0.2500 0.2500 0.2500
0.2500 0.7500 0.7500
0.7500 0.2500 0.7500
0.7500 0.7500 0.2500
0.2500 0.2500 0.7500
0.2500 0.7500 0.2500
0.7500 0.2500 0.2500
0.7500 0.7500 0.7500


Most stable to least stable: run 1, run 2


Run 1
K2LiMo | the Alexandria database | GGA-PBEsol | optimized geometry; crystal system = tetragonal; space-group type = P4/mmm, No. 123; total moment = 0.00 μB/f.u.; volume = 25.86 Å³/atom
1.0
2.8947 0.0000 0.0000
0.0000 2.8947 0.0000
0.0000 0.0000 12.3434
K Li Mo
2 1 1
direct
0.0000 0.0000 0.2266
0.0000 0.0000 0.7734
0.5000 0.5000 0.5000
0.5000 0.5000 0.0000


Run 2
K2LiMo | the Alexandria database | GGA-PBEsol | optimized geometry; crystal system = trigonal; space-group type = R-3m, No. 166; total moment = 0.08 μB/f.u.; volume = 25.21 Å³/atom
1.0
3.0377 0.0000 0.0000
-1.5189 2.6308 0.0000
0.0000 0.0000 37.8537
K Li Mo
6 3 3
direct
0.0000 0.0000 0.2444
0.0000 0.0000 0.7556
0.3333 0.6667 0.4223
0.3333 0.6667 0.9110
0.6667 0.3333 0.0890
0.6667 0.3333 0.5777
0.0000 0.0000 0.0000
0.3333 0.6667 0.6667
0.6667 0.3333 0.3333
0.0000 0.0000 0.5000
0.3333 0.6667 0.1667
0.6667 0.3333 0.8333


Most stable to least stable: run 1, run 2


Run 1
CuP3O9 | the Alexandria database | GGA-PBEsol | optimized geometry; crystal system = orthorhombic; space-group type = P2_12_12_1, No. 19; total moment = 1.94 μB/f.u.; volume = 11.26 Å³/atom
1.0
8.2349 0.0000 0.0000
0.0000 8.4086 0.0000
0.0000 0.0000 8.4564
Cu P O
4 12 36
direct
0.1340 0.1437 0.3524
0.3660 0.8563 0.8524
0.6340 0.3563 0.6476
0.8660 0.6437 0.1476
0.0307 0.6805 0.8135
0.1750 0.5123 0.3081
0.2107 0.1905 0.9510
0.2893 0.8095 0.4510
0.3250 0.4877 0.8081
0.4693 0.3195 0.3135
0.5307 0.8195 0.1865
0.6750 0.9877 0.6919
0.7107 0.3095 0.0490
0.7893 0.6905 0.5490
0.8250 0.0123 0.1919
0.9693 0.1805 0.6865
0.0462 0.2241 0.8532
0.0882 0.3715 0.3766
0.1028 0.5979 0.1681
0.1076 0.1272 0.5824
0.1332 0.8163 0.8730
0.1427 0.5344 0.7599
0.1605 0.1534 0.1160
0.1770 0.9152 0.3580
0.2089 0.6354 0.4490
0.2911 0.3646 0.9490
0.3230 0.0848 0.8580
0.3395 0.8466 0.6160
0.3573 0.4656 0.2599
0.3668 0.1837 0.3730
0.3924 0.8728 0.0824
0.3972 0.4021 0.6681
0.4118 0.6285 0.8766
0.4538 0.7759 0.3532
0.5462 0.2759 0.1468
0.5882 0.1285 0.6234
0.6028 0.9021 0.8319
0.6076 0.3728 0.4176
0.6332 0.6837 0.1270
0.6427 0.9656 0.2401
0.6605 0.3466 0.8840
0.6770 0.5848 0.6420
0.7089 0.8646 0.5510
0.7911 0.1354 0.0510
0.8230 0.4152 0.1420
0.8395 0.6534 0.3840
0.8573 0.0344 0.7401
0.8668 0.3163 0.6270
0.8924 0.6272 0.9176
0.8972 0.0979 0.3319
0.9118 0.8715 0.1234
0.9538 0.7241 0.6468


Run 2
CuP3O9 | the Alexandria database | GGA-PBEsol | optimized geometry; crystal system = triclinic; space-group type = P-1, No. 2; total moment = 0.01 μB/f.u.; volume = 12.90 Å³/atom
1.0
9.5384 0.0000 0.0000
-3.3575 8.9291 0.0000
-2.0491 -5.1080 7.8759
Cu P O
4 12 36
direct
0.0045 0.0616 0.2762
0.3045 0.8983 0.1822
0.6955 0.1017 0.8178
0.9955 0.9384 0.7238
0.1223 0.2454 0.0996
0.1720 0.2517 0.6593
0.2143 0.6200 0.2872
0.2872 0.6336 0.8409
0.3595 0.1237 0.0258
0.4219 0.1501 0.5680
0.5781 0.8499 0.4320
0.6405 0.8763 0.9742
0.7128 0.3664 0.1591
0.7857 0.3800 0.7128
0.8280 0.7483 0.3407
0.8777 0.7546 0.9004
0.0137 0.9060 0.0767
0.0554 0.1110 0.6759
0.0836 0.2488 0.2460
0.0865 0.2448 0.5017
0.1171 0.5953 0.3831
0.1578 0.4279 0.1185
0.1868 0.7332 0.2220
0.2133 0.7179 0.9559
0.2312 0.4396 0.8201
0.2366 0.9936 0.8468
0.2548 0.6189 0.6780
0.2944 0.2532 0.1260
0.3151 0.0761 0.3840
0.3426 0.2574 0.6746
0.4058 0.6819 0.3747
0.4225 0.0649 0.1383
0.4472 0.0402 0.6315
0.4821 0.7327 0.9639
0.5179 0.2673 0.0361
0.5528 0.9598 0.3685
0.5775 0.9351 0.8617
0.5942 0.3181 0.6253
0.6574 0.7426 0.3254
0.6849 0.9239 0.6160
0.7056 0.7468 0.8740
0.7452 0.3811 0.3220
0.7634 0.0064 0.1532
0.7688 0.5604 0.1799
0.7867 0.2821 0.0441
0.8132 0.2668 0.7780
0.8422 0.5721 0.8815
0.8829 0.4047 0.6169
0.9135 0.7552 0.4983
0.9164 0.7512 0.7540
0.9446 0.8890 0.3241
0.9863 0.0940 0.9233


Most stable to least stable: run 1, run 2


Run 1
ZnSi2Br | the Alexandria database | GGA-PBEsol | optimized geometry; crystal system = orthorhombic; space-group type = Immm, No. 71; total moment = 0.00 μB/f.u.; volume = 18.07 Å³/atom
1.0
2.9862 0.0000 0.0000
0.0000 4.6314 0.0000
0.0000 0.0000 10.4516
Zn Si Br
2 4 2
direct
0.0000 0.0000 0.0000
0.5000 0.5000 0.5000
0.0000 0.5000 0.2913
0.0000 0.5000 0.7087
0.5000 0.0000 0.2087
0.5000 0.0000 0.7913
0.0000 0.0000 0.5000
0.5000 0.5000 0.0000


Run 2
ZnSi2Br | the Alexandria database | GGA-PBEsol | optimized geometry; crystal system = trigonal; space-group type = R3m, No. 160; total moment = 0.00 μB/f.u.; volume = 19.90 Å³/atom
1.0
3.7368 0.0000 0.0000
-1.8684 3.2362 0.0000
0.0000 0.0000 19.7465
Zn Si Br
3 6 3
direct
0.0000 0.0000 0.0000
0.3333 0.6667 0.6667
0.6667 0.3333 0.3333
0.0000 0.0000 0.2526
0.0000 0.0000 0.5417
0.3333 0.6667 0.2084
0.3333 0.6667 0.9193
0.6667 0.3333 0.5860
0.6667 0.3333 0.8751
0.0000 0.0000 0.7491
0.3333 0.6667 0.4158
0.6667 0.3333 0.0825


Most stable to least stable: run 2, run 1